Record 1
This record from the Alexandria database describes an optimized crystal structure of Ca2Ho4N. The functional is PBE.

Summary:
The formation energy (no corrections) comes out at -0.245 eV per atom. The calculation puts the magnetization at 0.0 μB per formula unit.

a b c (Å): 4.838 4.838 18.496
angles (deg): 90.00 90.00 90.00
Space group I4/mmm (No. 139)
Inequivalent atoms, fractional coordinates:
Ca 0.000 0.000 0.172 [4 per cell]
Ho 0.000 0.000 0.376 [4 per cell]
Ho 0.000 0.500 0.000 [4 per cell]
N 0.000 0.000 0.500 [2 per cell]

Record 2
This record from the Alexandria database describes an optimized crystal structure of CaHo2N. The functional is PBE.

Summary:
The formation energy (no corrections) comes out at -0.680 eV per atom. The calculation puts the magnetization at 0.6 μB per formula unit.

a b c (Å): 3.4956 3.4956 28.2526
angles (deg): 90.00 90.00 120.00
Space group R-3m (No. 166, hexagonal axes)
Inequivalent atoms, fractional coordinates:
Ca 0.0000 0.0000 0.0000 [3 per cell]
Ho 0.0000 0.0000 0.1202 [6 per cell]
N 0.0000 0.0000 0.5000 [3 per cell]

Record 3
This record from the Alexandria database describes an optimized crystal structure of CaHo5N6. The functional is PBE.

Summary:
The formation energy (no corrections) comes out at -1.530 eV per atom. The calculation puts the magnetization at 0.0 μB per formula unit.

a b c (Å): 5.996 10.385 5.991
angles (deg): 90.00 109.51 90.00
Space group C2/m (No. 12)
Inequivalent atoms, fractional coordinates:
Ca 0.000 0.000 0.000 [2 per cell]
Ho 0.000 0.166 0.500 [4 per cell]
Ho 0.000 0.333 0.000 [4 per cell]
Ho 0.000 0.500 0.500 [2 per cell]
N 0.241 0.500 0.257 [4 per cell]
N 0.243 0.327 0.746 [8 per cell]

Record 4
This record from the Alexandria database describes an optimized crystal structure of Ca2HoNbN4. The functional is PBE.

Summary:
The formation energy (no corrections) comes out at -1.252 eV per atom. The calculation puts the magnetization at 0.0 μB per formula unit.

a b c (Å): 5.807 3.330 5.925
angles (deg): 90.00 108.87 90.00
Space group P2/m (No. 10)
Inequivalent atoms, fractional coordinates:
Ca 0.000 0.000 0.000 [1 per cell]
Ca 0.500 0.500 0.000 [1 per cell]
Ho 0.000 0.500 0.500 [1 per cell]
Nb 0.500 0.000 0.500 [1 per cell]
N 0.266 0.000 0.716 [2 per cell]
N 0.278 0.500 0.284 [2 per cell]

- formation energy (no corrections) of number 4 (Ca2HoNbN4)?
  -1.252 eV per atom

- What is the formula in the second record?
  CaHo2N

- Which of these has the highest magnetization?
  CaHo2N